Record 1
The following is a DFT calculation (GGA-PBE) of an optimized crystal structure of Sr8Ga2Ag.

Summary:
Crystal system: monoclinic
ΔE_f in meV/atom: -186
Uncorrected energy in eV per atom: -2.219
Theoretical density in Mg/m³: 3.65

abc: 20.429 5.612 7.851
angles: 90.00 106.64 90.00
Space group C2/m (No. 12)
Unique sites:
Sr (0.035, 0.000, 0.293) [4 per cell]
Sr (0.096, 0.500, 0.948) [4 per cell]
Sr (0.169, 0.500, 0.466) [4 per cell]
Sr (0.207, 0.000, 0.820) [4 per cell]
Ga (0.185, 0.000, 0.213) [4 per cell]
Ag (0.000, 0.500, 0.500) [2 per cell]



Record 2
The following is a DFT calculation (GGA-PBE) of an optimized crystal structure of As2SeCl.

Summary:
Crystal system: tetragonal
Raw formation energy in eV/f.u.: 1.9
Uncorrected energy in eV per atom: -3.178
Theoretical density in Mg/m³: 5.54

abc: 4.741 4.741 3.526
angles: 90.00 90.00 90.00
Space group P4/mmm (No. 123)
Unique sites:
As (0.000, 0.500, 0.000) [2 per cell]
Se (0.000, 0.000, 0.500) [1 per cell]
Cl (0.500, 0.500, 0.500) [1 per cell]



Record 3
The following is a DFT calculation (GGA-PBE) of an optimized crystal structure of Pu4Ga.

Summary:
Crystal system: cubic
ΔE_f in meV/atom: 733
Uncorrected energy in eV per atom: -11.338
Theoretical density in Mg/m³: 10.36

abc: 5.513 5.513 5.513
angles: 90.00 90.00 90.00
Space group Pm-3m (No. 221)
Unique sites:
Pu (0.000, 0.000, 0.000) [1 per cell]
Pu (0.000, 0.500, 0.500) [3 per cell]
Ga (0.500, 0.500, 0.500) [1 per cell]



Record 4
The following is a DFT calculation (GGA-PBE) of an optimized crystal structure of CuTcRh.

Summary:
Crystal system: trigonal
ΔE_f in meV/atom: 73
Uncorrected energy in eV per atom: -7.199
Theoretical density in Mg/m³: 10.59

abc: 2.7011 2.7011 6.5619
angles: 90.00 90.00 120.00
Space group P3m1 (No. 156)
Unique sites:
Cu (0.0000, 0.0000, 0.0000) [1 per cell]
Tc (0.3333, 0.6667, 0.6647) [1 per cell]
Rh (0.6667, 0.3333, 0.3365) [1 per cell]



Record 5
The following is a DFT calculation (GGA-PBE) of an optimized crystal structure of MnCoHPd2.

Summary:
Crystal system: tetragonal
Uncorrected energy in eV per atom: -6.045
Theoretical density in Mg/m³: 9.27

abc: 3.926 3.926 3.809
angles: 90.00 90.00 90.00
Space group P4/mmm (No. 123)
Unique sites:
Mn (0.000, 0.000, 0.000) [1 per cell]
Co (0.500, 0.500, 0.000) [1 per cell]
H (0.500, 0.500, 0.500) [1 per cell]
Pd (0.000, 0.500, 0.500) [2 per cell]



Record 6
The following is a DFT calculation (GGA-PBE) of an optimized crystal structure of Ca2NdAs3Pt4.

Summary:
Crystal system: tetragonal
ΔE_f in meV/atom: -820
Uncorrected energy in eV per atom: -5.508
Theoretical density in Mg/m³: 9.54

abc: 4.323 4.323 11.455
angles: 90.00 90.00 90.00
Space group P-4m2 (No. 115)
Unique sites:
Ca (0.000, 0.500, 0.216) [2 per cell]
Nd (0.000, 0.000, 0.500) [1 per cell]
As (0.000, 0.500, 0.878) [2 per cell]
As (0.500, 0.500, 0.500) [1 per cell]
Pt (0.000, 0.000, 0.000) [1 per cell]
Pt (0.000, 0.500, 0.666) [2 per cell]
Pt (0.500, 0.500, 0.000) [1 per cell]



Record 7
The following is a DFT calculation (GGA-PBE) of an optimized crystal structure of Hf2Te2Pb.

Summary:
Crystal system: tetragonal
Raw formation energy in eV/f.u.: -1.8
Uncorrected energy in eV per atom: -6.349
Theoretical density in Mg/m³: 11.12

abc: 8.178 8.178 3.661
angles: 90.00 90.00 90.00
Space group P4/mbm (No. 127)
Unique sites:
Hf (0.145, 0.355, 0.000) [4 per cell]
Te (0.143, 0.643, 0.500) [4 per cell]
Pb (0.000, 0.000, 0.000) [2 per cell]



Record 8
The following is a DFT calculation (GGA-PBE) of an optimized crystal structure of SmZn4Pt2.

Summary:
Crystal system: tetragonal
ΔE_f in meV/atom: -658
Uncorrected energy in eV per atom: -3.786
Theoretical density in Mg/m³: 10.83

abc: 7.575 7.575 4.287
angles: 90.00 90.00 90.00
Space group P4_2/mnm (No. 136)
Unique sites:
Sm (0.000, 0.000, 0.000) [2 per cell]
Zn (0.097, 0.352, 0.500) [8 per cell]
Pt (0.216, 0.784, 0.500) [4 per cell]



Record 9
The following is a DFT calculation (GGA-PBE) of an optimized crystal structure of Pm6SiRh2I3.

Summary:
Crystal system: monoclinic
Raw formation energy in eV/f.u.: -10.6
Uncorrected energy in eV per atom: -5.324
Theoretical density in Mg/m³: 6.67

abc: 7.327 12.695 8.313
angles: 90.00 107.12 90.00
Space group C2/m (No. 12)
Unique sites:
Pm (0.218, 0.000, 0.188) [4 per cell]
Pm (0.234, 0.328, 0.189) [8 per cell]
Si (0.000, 0.500, 0.000) [2 per cell]
Rh (0.000, 0.167, 0.000) [4 per cell]
I (0.000, 0.000, 0.500) [2 per cell]
I (0.000, 0.338, 0.500) [4 per cell]



Record 10
The following is a DFT calculation (GGA-PBE) of an optimized crystal structure of La4ThMg3.

Summary:
Crystal system: tetragonal
ΔE_f in meV/atom: -70
Uncorrected energy in eV per atom: -4.059
Theoretical density in Mg/m³: 5.62

abc: 3.781 3.781 17.789
angles: 90.00 90.00 90.00
Space group P4/mmm (No. 123)
Unique sites:
La (0.000, 0.000, 0.118) [2 per cell]
La (0.000, 0.000, 0.367) [2 per cell]
Th (0.500, 0.500, 0.500) [1 per cell]
Mg (0.500, 0.500, 0.000) [1 per cell]
Mg (0.500, 0.500, 0.240) [2 per cell]



Record 11
The following is a DFT calculation (GGA-PBE) of an optimized crystal structure of MgMn2PbCl8.

Summary:
Crystal system: monoclinic
Raw formation energy in eV/f.u.: -14.9
Uncorrected energy in eV per atom: -4.442
Theoretical density in Mg/m³: 3.43

abc: 6.066 7.888 6.321
angles: 90.00 91.16 90.00
Space group P2/m (No. 10)
Unique sites:
Mg (0.000, 0.000, 0.000) [1 per cell]
Mn (0.500, 0.238, 0.500) [2 per cell]
Pb (0.000, 0.500, 0.000) [1 per cell]
Cl (0.236, 0.220, 0.178) [4 per cell]
Cl (0.277, 0.000, 0.670) [2 per cell]
Cl (0.294, 0.500, 0.645) [2 per cell]



Record 12
The following is a DFT calculation (GGA-PBE) of an optimized crystal structure of CsRbZnGe.

Summary:
Crystal system: monoclinic
ΔE_f in meV/atom: 181
Uncorrected energy in eV per atom: -1.747
Theoretical density in Mg/m³: 3.74

abc: 6.576 3.677 6.780
angles: 90.00 105.16 90.00
Space group Pm (No. 6)
Unique sites:
Cs (0.000, 0.000, 0.000) [1 per cell]
Rb (0.395, 0.000, 0.594) [1 per cell]
Zn (0.573, 0.500, 0.168) [1 per cell]
Ge (0.864, 0.500, 0.477) [1 per cell]



Record 13
The following is a DFT calculation (GGA-PBE) of an optimized crystal structure of Ca2PaRh4.

Summary:
Crystal system: tetragonal
ΔE_f in meV/atom: -431
Uncorrected energy in eV per atom: -6.560
Theoretical density in Mg/m³: 8.51

abc: 4.381 4.381 14.695
angles: 90.00 90.00 90.00
Space group I4/mmm (No. 139)
Unique sites:
Ca (0.000, 0.000, 0.242) [4 per cell]
Pa (0.000, 0.000, 0.500) [2 per cell]
Rh (0.000, 0.500, 0.106) [8 per cell]



Record 14
The following is a DFT calculation (GGA-PBE) of an optimized crystal structure of EuMgZr.

Summary:
Crystal system: tetragonal
ΔE_f in meV/atom: 161
Uncorrected energy in eV per atom: -6.645
Theoretical density in Mg/m³: 5.47

abc: 3.350 3.350 14.463
angles: 90.00 90.00 90.00
Space group I4mm (No. 107)
Unique sites:
Eu (0.000, 0.000, 0.000) [2 per cell]
Mg (0.000, 0.000, 0.316) [2 per cell]
Zr (0.000, 0.000, 0.674) [2 per cell]



Record 15
The following is a DFT calculation (GGA-PBE) of an optimized crystal structure of Zr2UAl.

Summary:
Crystal system: cubic
ΔE_f in meV/atom: 79
Uncorrected energy in eV per atom: -7.953
Theoretical density in Mg/m³: 8.75

abc: 6.978 6.978 6.978
angles: 90.00 90.00 90.00
Space group Fm-3m (No. 225)
Unique sites:
Zr (0.250, 0.250, 0.250) [8 per cell]
U (0.000, 0.000, 0.000) [4 per cell]
Al (0.000, 0.000, 0.500) [4 per cell]



Record 16
The following is a DFT calculation (GGA-PBE) of an optimized crystal structure of MgBiS.

Summary:
Crystal system: trigonal
Raw formation energy in eV/f.u.: -2.5
Uncorrected energy in eV per atom: -4.038
Theoretical density in Mg/m³: 4.69

abc: 4.2283 4.2283 36.3950
angles: 90.00 90.00 120.00
Space group R-3m (No. 166, hexagonal axes)
Unique sites:
Mg (0.0000, 0.0000, 0.1363) [6 per cell]
Bi (0.0000, 0.0000, 0.3578) [6 per cell]
S (0.0000, 0.0000, 0.2071) [6 per cell]



Record 17
The following is a DFT calculation (GGA-PBE) of an optimized crystal structure of Fe2SiMo.

Summary:
Crystal system: orthorhombic
Raw formation energy in eV/f.u.: 0.0
Uncorrected energy in eV per atom: -8.302
Theoretical density in Mg/m³: 7.54

abc: 3.238 4.193 7.648
angles: 90.00 90.00 90.00
Space group Cmm2 (No. 35)
Unique sites:
Fe (0.000, 0.000, 0.000) [2 per cell]
Fe (0.000, 0.500, 0.244) [2 per cell]
Si (0.000, 0.500, 0.778) [2 per cell]
Mo (0.000, 0.000, 0.516) [2 per cell]



Record 18
The following is a DFT calculation (GGA-PBE) of an optimized crystal structure of MgMo2Se.

Summary:
Crystal system: tetragonal
Raw formation energy in eV/f.u.: 1.5
Uncorrected energy in eV per atom: -6.309
Theoretical density in Mg/m³: 7.19

abc: 3.778 3.778 9.548
angles: 90.00 90.00 90.00
Space group I4/mmm (No. 139)
Unique sites:
Mg (0.000, 0.000, 0.000) [2 per cell]
Mo (0.000, 0.500, 0.250) [4 per cell]
Se (0.000, 0.000, 0.500) [2 per cell]



Record 19
The following is a DFT calculation (GGA-PBE) of an optimized crystal structure of BaGa2Pt2.

Summary:
Crystal system: orthorhombic
ΔE_f in meV/atom: -813
Uncorrected energy in eV per atom: -4.825
Theoretical density in Mg/m³: 9.35

abc: 6.430 9.802 15.039
angles: 90.00 90.00 90.00
Space group Fddd (No. 70, origin choice 2)
Unique sites:
Ba (0.125, 0.125, 0.125) [8 per cell]
Ga (0.125, 0.274, 0.625) [16 per cell]
Pt (0.125, 0.125, 0.483) [16 per cell]



Record 20
The following is a DFT calculation (GGA-PBE) of an optimized crystal structure of Mg2ZnTe.

Summary:
Crystal system: cubic
Raw formation energy in eV/f.u.: 0.1
Uncorrected energy in eV per atom: -1.868
Theoretical density in Mg/m³: 4.21

abc: 7.249 7.249 7.249
angles: 90.00 90.00 90.00
Space group F-43m (No. 216)
Unique sites:
Mg (0.000, 0.000, 0.000) [4 per cell]
Mg (0.250, 0.250, 0.250) [4 per cell]
Zn (0.250, 0.250, 0.750) [4 per cell]
Te (0.000, 0.000, 0.500) [4 per cell]